Entry 1:
VASP calculation (PBE-GGA) on a geometry-optimized SnH structure. Values from VASP.

E_tot in eV per cell: -26.3
Space group: Fddd
Energy above the lowest structure with this stoichiometry in meV per atom: 325

Structure (Quantum ESPRESSO input):
```
&SYSTEM
  ibrav = 0, nat = 8, ntyp = 2
/
ATOMIC_SPECIES
Sn 118.71 Sn.upf
H 1.01 H.upf
ATOMIC_POSITIONS angstrom
Sn 2.737 0.637 3.428
Sn 4.562 2.576 5.714
Sn 2.737 5.181 3.428
Sn 4.562 7.120 5.714
H 2.737 2.909 2.174
H 4.562 4.848 4.459
H 2.737 2.909 4.683
H 4.562 4.848 6.968
CELL_PARAMETERS angstrom
0.000 3.878 4.571
3.649 0.000 4.571
3.649 3.878 0.000
```

---

Entry 2:
VASP calculation (PBE-GGA) on a geometry-optimized Re2TcSe structure. Values from VASP.

E_tot in eV per cell: -35.9
Space group: I4/mmm

Structure (Quantum ESPRESSO input):
```
&SYSTEM
  ibrav = 0, nat = 4, ntyp = 3
/
ATOMIC_SPECIES
Re 186.21 Re.upf
Tc 98.00 Tc.upf
Se 78.96 Se.upf
ATOMIC_POSITIONS angstrom
Re 1.889 0.000 2.142
Re 0.000 1.889 2.142
Tc 0.000 0.000 0.000
Se 0.000 0.000 4.285
CELL_PARAMETERS angstrom
-1.889 1.889 4.285
1.889 -1.889 4.285
1.889 1.889 -4.285
```

---

Entry 3:
VASP calculation (PBE-GGA) on a geometry-optimized TbAs3 structure. Values from VASP.

Energy of formation from the pure elements in eV per atom: -0.51
E_tot in eV per cell: -41.2
Space group: P6_3/mmc

Structure (Quantum ESPRESSO input):
```
&SYSTEM
  ibrav = 0, nat = 8, ntyp = 2
/
ATOMIC_SPECIES
Tb 158.93 Tb.upf
As 74.92 As.upf
ATOMIC_POSITIONS angstrom
Tb 0.000 3.519 1.357
Tb 3.047 1.759 4.071
As 0.000 1.965 4.071
As -1.346 4.296 4.071
As 1.702 0.983 1.357
As 1.346 4.296 4.071
As 4.393 0.983 1.357
As 3.047 3.313 1.357
CELL_PARAMETERS angstrom
6.095 0.000 0.000
-3.047 5.278 0.000
0.000 0.000 5.428
```

---

Entry 4:
VASP calculation (PBE-GGA) on a geometry-optimized Ac4PmCo2 structure. Values from VASP.

Energy of formation from the pure elements in eV per atom: -0.03
E_tot in eV per cell: -71.2
Space group: P-1

Structure (Quantum ESPRESSO input):
```
&SYSTEM
  ibrav = 0, nat = 14, ntyp = 3
/
ATOMIC_SPECIES
Ac 227.00 Ac.upf
Pm 145.00 Pm.upf
Co 58.93 Co.upf
ATOMIC_POSITIONS angstrom
Ac -0.601 1.850 0.110
Ac 0.412 0.324 3.463
Ac -0.515 4.250 3.479
Ac 0.490 2.145 6.892
Ac 3.063 2.893 1.773
Ac 4.069 0.788 5.187
Ac 3.142 4.714 5.203
Ac 4.154 3.187 8.556
Pm 1.913 -1.990 7.054
Pm 1.641 7.027 1.611
Co -1.806 3.241 5.759
Co 1.824 0.523 0.937
Co 1.730 4.514 7.729
Co 5.359 1.796 2.907
CELL_PARAMETERS angstrom
7.240 0.000 0.000
-2.595 7.672 0.000
-1.091 -2.634 8.666
```

---

Entry 5:
VASP calculation (PBE-GGA) on a geometry-optimized KTe2Ru structure. Values from VASP.

E_tot in eV per cell: -17.6
Space group: Amm2
Energy above the lowest structure with this stoichiometry in meV per atom: 142

Structure (Quantum ESPRESSO input):
```
&SYSTEM
  ibrav = 0, nat = 4, ntyp = 3
/
ATOMIC_SPECIES
K 39.10 K.upf
Te 127.60 Te.upf
Ru 101.07 Ru.upf
ATOMIC_POSITIONS angstrom
K 0.000 0.000 0.000
Te 0.000 0.000 9.784
Te 2.265 0.000 5.314
Ru 2.265 0.000 10.919
CELL_PARAMETERS angstrom
4.531 0.000 0.000
0.000 2.185 6.964
0.000 -2.185 6.964
```

---

Entry 6:
VASP calculation (PBE-GGA) on a geometry-optimized Er2SbAs structure. Values from VASP.

E_tot in eV per cell: -23.1
Space group: R-3m

Structure (Quantum ESPRESSO input):
```
&SYSTEM
  ibrav = 0, nat = 4, ntyp = 3
/
ATOMIC_SPECIES
Er 167.26 Er.upf
Sb 121.76 Sb.upf
As 74.92 As.upf
ATOMIC_POSITIONS angstrom
Er 0.000 0.000 5.085
Er 0.000 0.000 15.753
Sb 0.000 0.000 0.000
As 0.000 0.000 10.419
CELL_PARAMETERS angstrom
2.099 1.212 6.946
-2.099 1.212 6.946
0.000 -2.424 6.946
```

---

Entry 7:
VASP calculation (PBE-GGA) on a geometry-optimized Nd2ScAl4Au3 structure. Values from VASP.

Energy of formation from the pure elements in eV per atom: -0.65
E_tot in eV per cell: -47.2
Space group: P-4m2

Structure (Quantum ESPRESSO input):
```
&SYSTEM
  ibrav = 0, nat = 10, ntyp = 4
/
ATOMIC_SPECIES
Nd 144.24 Nd.upf
Sc 44.96 Sc.upf
Al 26.98 Al.upf
Au 196.97 Au.upf
ATOMIC_POSITIONS angstrom
Nd 0.000 2.153 2.767
Nd 2.153 0.000 8.736
Sc 0.000 0.000 5.751
Al 0.000 0.000 0.000
Al 0.000 2.153 7.531
Al 2.153 0.000 3.972
Al 2.153 2.153 0.000
Au 0.000 2.153 10.049
Au 2.153 0.000 1.453
Au 2.153 2.153 5.751
CELL_PARAMETERS angstrom
4.307 0.000 0.000
0.000 4.307 0.000
0.000 0.000 11.502
```

---

Entry 8:
VASP calculation (PBE-GGA) on a geometry-optimized SiPt2Au structure. Values from VASP.

E_tot in eV per cell: -21.2
Space group: Cmmm

Structure (Quantum ESPRESSO input):
```
&SYSTEM
  ibrav = 0, nat = 4, ntyp = 3
/
ATOMIC_SPECIES
Si 28.09 Si.upf
Pt 195.08 Pt.upf
Au 196.97 Au.upf
ATOMIC_POSITIONS angstrom
Si 0.000 0.000 0.000
Pt 1.387 1.702 1.675
Pt 1.387 -1.702 1.675
Au 2.774 0.000 0.000
CELL_PARAMETERS angstrom
2.774 -3.404 0.000
2.774 3.404 0.000
0.000 0.000 3.350
```